# Dy7InSe5, relaxed, DFT PBE
# **Final energy**: -284.527 eV per cell
# **Raw formation energy**: -1.44 eV per atom
# **Density of states at the Fermi level**: 31.0 states/eV per cell
# **Crystal system**: monoclinic
data_Dy7InSe5
_cell_length_a 13.4987
_cell_length_b 4.0511
_cell_length_c 24.2987
_cell_angle_alpha 90.00
_cell_angle_beta 90.00
_cell_angle_gamma 90.00
_symmetry_space_group_name_H-M 'C 1 2/m 1'
_symmetry_Int_Tables_number 12
loop_
_symmetry_equiv_pos_as_xyz
'x,y,z'
'-x,-y,-z'
'-x,y,-z'
'x,-y,z'
'x+1/2,y+1/2,z'
'-x+1/2,-y+1/2,-z'
'-x+1/2,y+1/2,-z'
'x+1/2,-y+1/2,z'
loop_
_atom_site_label
_atom_site_type_symbol
_atom_site_fract_x
_atom_site_fract_y
_atom_site_fract_z
Dy1 Dy 0.0169 0.0000 0.2500
Dy2 Dy 0.0945 0.5000 0.1153
Dy3 Dy 0.0947 0.5000 0.3848
Dy4 Dy 0.1384 0.0000 0.5355
Dy5 Dy 0.1385 0.0000 0.9645
Dy6 Dy 0.1826 0.5000 0.6770
Dy7 Dy 0.1829 0.5000 0.8230
In1 In 0.1917 0.5000 0.2501
Se1 Se 0.0000 0.5000 0.0000
Se2 Se 0.0000 0.5000 0.5000
Se3 Se 0.0483 0.0000 0.6399
Se4 Se 0.0485 0.0000 0.8600
Se5 Se 0.2249 0.0000 0.0717
Se6 Se 0.2251 0.0000 0.4283